Compound: KSiAu3
Source: Alexandria
Functional: GGA-PBE
Structure: relaxed

Results
Calculated total energy: -34.1 eV/cell
Crystal system: monoclinic

a = 7.213 Å, b = 7.213 Å, c = 8.542 Å
α = 106.61°, β = 106.61°, γ = 35.11°
Fractional positions:
K 0.126 0.126 0.452
K 0.874 0.874 0.548
Si 0.475 0.475 0.132
Si 0.525 0.525 0.868
Au 0.102 0.102 0.840
Au 0.285 0.285 0.206
Au 0.344 0.344 0.845
Au 0.656 0.656 0.155
Au 0.715 0.715 0.794
Au 0.898 0.898 0.160